First-principles (PBE+U) data for an optimized crystal structure of Li4Ti3Co3O12, as listed in Alexandria via LeMat-Bulk.

Computed properties:
Total energy   -6.909 eV/atom
Excess energy over the best structure of this formula in the dataset   0.005 eV per atom

a b c (Å): 6.110 7.881 9.664
angles (deg): 82.75 79.49 77.28
Fractional positions:
Li (0.000, 0.000, 0.000)
Li (0.002, 0.758, 0.256)
Li (0.013, 0.255, 0.749)
Li (0.047, 0.494, 0.495)
Li (0.319, 0.675, 0.001)
Li (0.416, 0.228, 0.318)
Li (0.671, 0.324, 0.021)
Li (0.712, 0.824, 0.528)
Ti (0.175, 0.335, 0.004)
Ti (0.215, 0.855, 0.509)
Ti (0.501, 0.993, 0.005)
Ti (0.536, 0.518, 0.506)
Ti (0.817, 0.654, 0.002)
Ti (0.832, 0.165, 0.503)
Co (0.157, 0.087, 0.248)
Co (0.178, 0.598, 0.756)
Co (0.505, 0.756, 0.255)
Co (0.506, 0.254, 0.753)
Co (0.847, 0.918, 0.757)
Co (0.849, 0.421, 0.255)
O (0.056, 0.542, 0.124)
O (0.057, 0.779, 0.879)
O (0.060, 0.040, 0.632)
O (0.072, 0.280, 0.365)
O (0.252, 0.893, 0.124)
O (0.258, 0.139, 0.893)
O (0.282, 0.415, 0.634)
O (0.287, 0.647, 0.395)
O (0.379, 0.467, 0.886)
O (0.388, 0.974, 0.362)
O (0.393, 0.201, 0.123)
O (0.442, 0.722, 0.609)
O (0.608, 0.802, 0.887)
O (0.615, 0.546, 0.139)
O (0.625, 0.315, 0.388)
O (0.641, 0.041, 0.631)
O (0.730, 0.865, 0.118)
O (0.734, 0.111, 0.883)
O (0.764, 0.370, 0.614)
O (0.770, 0.615, 0.379)
O (0.929, 0.454, 0.895)
O (0.936, 0.228, 0.138)
O (0.957, 0.968, 0.386)
O (0.973, 0.732, 0.636)